First-principles (PBE-GGA) data for a relaxed structure of Tb4YHo3, as listed in Alexandria.

Cell: 11.2556 7.2658 6.2832 Å, 90.00 90.00 90.00°
Space group Pmn2_1 (No. 31)
Unique sites:
Tb 0.0000 0.1255 0.0000
Tb 0.0000 0.8743 0.5017
Tb 0.2490 0.1254 0.3334
Y 0.0000 0.6242 0.0015
Ho 0.0000 0.3754 0.5011
Ho 0.2501 0.3755 0.8350

## Properties
M_tot ... 0.02 Bohr magnetons per cell
Energy relative to the elements ... 6 kJ/mol of formula units
Uncorrected energy ... -4.832 eV/atom
Volume ... 32.12 Å³ per atom